Model a:
An optimized crystal structure of AcPrRh. Source: the Alexandria database, functional PBE-GGA.

abc: 5.1049 5.1049 5.1049
angles: 60.00 60.00 60.00
Atoms (fractional coordinates):
1 Ac 0.0000 0.0000 0.0000
2 Pr 0.5000 0.5000 0.5000
3 Rh 0.2500 0.2500 0.2500

Summary:
calculated volume = 31.4 Å³ per atom
total magnetic moment = 0.000 μB per atom
space group = F-43m
N(E_F) = 2.228 states/eV per cell

Model b:
An optimized crystal structure of AcPrRh. Source: the Alexandria database, functional PBE-GGA.

abc: 4.2609 4.2609 6.6873
angles: 90.00 90.00 120.00
Atoms (fractional coordinates):
1 Ac 0.0000 0.0000 0.0000
2 Pr 0.6667 0.3333 0.4677
3 Rh 0.3333 0.6667 0.2425

Summary:
calculated volume = 35.0 Å³ per atom
total magnetic moment = 0.000 μB per atom
space group = P3m1
N(E_F) = 2.910 states/eV per cell

Model c:
An optimized crystal structure of AcPrRh. Source: the Alexandria database, functional PBE-GGA.

abc: 8.2213 7.6686 9.1378
angles: 57.78 52.11 70.11
Atoms (fractional coordinates):
1 Ac 0.0394 0.9606 0.2623
2 Ac 0.5123 0.9877 0.2894
3 Ac 0.9606 0.0394 0.7377
4 Ac 0.9877 0.5123 0.2106
5 Pr 0.3289 0.4955 0.4139
6 Pr 0.4882 0.8361 0.7545
7 Pr 0.4955 0.3289 0.7618
8 Pr 0.8361 0.4882 0.9211
9 Rh 0.2182 0.6733 0.7171
10 Rh 0.5329 0.8586 0.0318
11 Rh 0.6733 0.2182 0.3914
12 Rh 0.8586 0.5329 0.5767

Summary:
calculated volume = 32.0 Å³ per atom
total magnetic moment = 0.000 μB per atom
space group = Fdd2
N(E_F) = 11.273 states/eV per cell

Most stable = model c

Model a:
An optimized crystal structure of AcPrRh. Source: the Alexandria database, functional PBE-GGA.

abc: 7.4414 5.0896 9.4652
angles: 90.00 90.00 90.00
Atoms (fractional coordinates):
1 Ac 0.1409 0.2500 0.0990
2 Ac 0.3591 0.7500 0.5990
3 Ac 0.6409 0.2500 0.4010
4 Ac 0.8591 0.7500 0.9010
5 Pr 0.0028 0.7500 0.3459
6 Pr 0.4972 0.2500 0.8459
7 Pr 0.5028 0.7500 0.1541
8 Pr 0.9972 0.2500 0.6541
9 Rh 0.2347 0.2500 0.4223
10 Rh 0.2653 0.7500 0.9223
11 Rh 0.7347 0.2500 0.0777
12 Rh 0.7653 0.7500 0.5777

Summary:
calculated volume = 29.9 Å³ per atom
total magnetic moment = 0.000 μB per atom
space group = Pnma
N(E_F) = 10.298 states/eV per cell

Model b:
An optimized crystal structure of AcPrRh. Source: the Alexandria database, functional PBE-GGA.

abc: 7.2833 7.2833 7.2833
angles: 150.60 150.60 42.06
Atoms (fractional coordinates):
1 Ac 0.0000 0.0000 0.0000
2 Pr 0.7488 0.7488 0.0000
3 Rh 0.3667 0.3667 0.0000

Summary:
calculated volume = 31.0 Å³ per atom
total magnetic moment = 0.000 μB per atom
space group = I4mm
N(E_F) = 3.110 states/eV per cell

Most stable = model a

Model a:
An optimized crystal structure of AcPr2Rh2. Source: the Alexandria database, functional PBE-GGA.

abc: 7.1074 7.1074 10.5009
angles: 90.00 90.00 147.08
Atoms (fractional coordinates):
1 Ac 0.0958 0.9042 0.7500
2 Ac 0.9042 0.0958 0.2500
3 Pr 0.3572 0.6428 0.5721
4 Pr 0.3572 0.6428 0.9279
5 Pr 0.6428 0.3572 0.0721
6 Pr 0.6428 0.3572 0.4279
7 Rh 0.0000 0.0000 0.0000
8 Rh 0.0000 0.0000 0.5000
9 Rh 0.2434 0.7566 0.2500
10 Rh 0.7566 0.2434 0.7500

Summary:
calculated volume = 28.8 Å³ per atom
total magnetic moment = 0.000 μB per atom
space group = Cmcm
N(E_F) = 5.730 states/eV per cell

Model b:
An optimized crystal structure of AcPr2Rh2. Source: the Alexandria database, functional PBE-GGA.

abc: 5.9472 4.4632 11.0626
angles: 90.00 98.55 90.00
Atoms (fractional coordinates):
1 Ac 0.0498 0.2500 0.2901
2 Ac 0.9502 0.7500 0.7099
3 Pr 0.2702 0.7500 0.0333
4 Pr 0.3908 0.2500 0.6161
5 Pr 0.6092 0.7500 0.3839
6 Pr 0.7298 0.2500 0.9667
7 Rh 0.1645 0.7500 0.4715
8 Rh 0.1932 0.2500 0.8658
9 Rh 0.8068 0.7500 0.1342
10 Rh 0.8355 0.2500 0.5285

Summary:
calculated volume = 29.0 Å³ per atom
total magnetic moment = 0.000 μB per atom
space group = P2_1/m
N(E_F) = 5.078 states/eV per cell

Most stable = model b